# 1
# NaGaI2 SCAN single point on PBEsol structure
# DOS at the Fermi energy   0.00 states/eV/cell
# V   367.1 Å³ per cell
# ΔE_f (raw)   -0.70 eV/atom
# Symmetry   I-42d (122)
# Crystal system   tetragonal
data_NaGaI2
_chemical_formula_sum 'Na2 Ga2 I4'
_symmetry_space_group_name_H-M 'P 1'
_symmetry_Int_Tables_number 1
_symmetry_space_group_name_Hall 'P 1'
_cell_length_a 9.0079
_cell_length_b 9.0079
_cell_length_c 9.0079
_cell_angle_alpha 134.41
_cell_angle_beta 134.41
_cell_angle_gamma 66.44
loop_
_atom_site_label
_atom_site_fract_x
_atom_site_fract_y
_atom_site_fract_z
Na1 0.0000 0.0000 0.0000
Na2 0.7500 0.2500 0.5000
Ga1 0.2500 0.7500 0.5000
Ga2 0.5000 0.5000 0.0000
I1 0.1148 0.6250 0.9898
I2 0.3750 0.3648 0.4898
I3 0.6352 0.1250 0.0102
I4 0.8750 0.8852 0.5102


# 2
# Zn2HgBN SCAN single point on PBEsol structure
# DOS at the Fermi energy   1.73 states/eV/cell
# V   78.1 Å³ per cell
# ΔE_f (raw)   1.02 eV/atom
# Symmetry   P4/mmm (123)
# Crystal system   tetragonal
data_Zn2HgBN
_chemical_formula_sum 'Zn2 Hg1 B1 N1'
_symmetry_space_group_name_H-M 'P 1'
_symmetry_Int_Tables_number 1
_symmetry_space_group_name_Hall 'P 1'
_cell_length_a 3.7224
_cell_length_b 3.7224
_cell_length_c 5.6380
_cell_angle_alpha 90.00
_cell_angle_beta 90.00
_cell_angle_gamma 90.00
loop_
_atom_site_label
_atom_site_fract_x
_atom_site_fract_y
_atom_site_fract_z
Zn1 0.0000 0.5000 0.0000
Zn2 0.5000 0.0000 0.0000
Hg1 0.0000 0.0000 0.5000
B1 0.5000 0.5000 0.5000
N1 0.0000 0.0000 0.0000


# 3
# KCoSb4 SCAN single point on PBEsol structure
# DOS at the Fermi energy   4.28 states/eV/cell
# V   168.2 Å³ per cell
# ΔE_f (raw)   0.36 eV/atom
# Symmetry   F-43m (216)
# Crystal system   cubic
data_KCoSb4
_chemical_formula_sum 'K1 Co1 Sb4'
_symmetry_space_group_name_H-M 'P 1'
_symmetry_Int_Tables_number 1
_symmetry_space_group_name_Hall 'P 1'
_cell_length_a 6.1965
_cell_length_b 6.1965
_cell_length_c 6.1965
_cell_angle_alpha 60.00
_cell_angle_beta 60.00
_cell_angle_gamma 60.00
loop_
_atom_site_label
_atom_site_fract_x
_atom_site_fract_y
_atom_site_fract_z
K1 0.0000 0.0000 0.0000
Co1 0.7500 0.7500 0.7500
Sb1 0.3759 0.3759 0.3759
Sb2 0.3759 0.3759 0.8722
Sb3 0.3759 0.8722 0.3759
Sb4 0.8722 0.3759 0.3759


# 4
# Rb2Tl2Bi SCAN single point on PBEsol structure
# DOS at the Fermi energy   7.05 states/eV/cell
# Energy of formation from the pure elements   -0.237 eV per atom
# V   392.7 Å³ per cell
# Symmetry   P4/mbm (127)
# Crystal system   tetragonal
data_Rb2Tl2Bi
_chemical_formula_sum 'Rb4 Tl4 Bi2'
_symmetry_space_group_name_H-M 'P 1'
_symmetry_Int_Tables_number 1
_symmetry_space_group_name_Hall 'P 1'
_cell_length_a 8.2017
_cell_length_b 8.2017
_cell_length_c 5.8377
_cell_angle_alpha 90.00
_cell_angle_beta 90.00
_cell_angle_gamma 90.00
loop_
_atom_site_label
_atom_site_fract_x
_atom_site_fract_y
_atom_site_fract_z
Rb1 0.1861 0.3139 0.0000
Rb2 0.3139 0.8139 0.0000
Rb3 0.6861 0.1861 0.0000
Rb4 0.8139 0.6861 0.0000
Tl1 0.1290 0.6290 0.5000
Tl2 0.3710 0.1290 0.5000
Tl3 0.6290 0.8710 0.5000
Tl4 0.8710 0.3710 0.5000
Bi1 0.0000 0.0000 0.5000
Bi2 0.5000 0.5000 0.5000